Material: NpCrCoP2
Method: DFT, PBE
State: relaxed

a b c (Å): 3.841 3.841 5.584
angles (deg): 110.12 110.12 90.00
Atoms (fractional coordinates):
P 0.371 0.371 0.742
P 0.629 0.629 0.258
Np 0.000 0.000 0.000
Co 0.750 0.250 0.500
Cr 0.250 0.750 0.500

## Properties
- VASP energy: -43.759 eV/cell
- Fermi-level density of states: 2.19 states/eV per atom
- Magnetization: 3.0 μB per formula unit
- SG: No. 119
- Calculated volume: 72 Å³ per cell

=====

Material: Np2CrCoS5
Method: DFT, PBE
State: relaxed

a b c (Å): 3.635 7.942 11.212
angles (deg): 90.00 90.00 103.23
Atoms (fractional coordinates):
S 0.696 0.392 0.865
S 0.980 0.960 0.520
S 0.304 0.608 0.365
S 0.666 0.331 0.518
S 0.334 0.669 0.018
S 0.496 0.992 0.254
S 0.691 0.382 0.170
S 0.504 0.008 0.754
S 0.020 0.040 0.020
S 0.309 0.618 0.670
Np 0.890 0.779 0.842
Np 0.110 0.221 0.342
Np 0.872 0.745 0.197
Np 0.128 0.255 0.697
Co 0.438 0.875 0.428
Co 0.562 0.125 0.928
Cr 0.825 0.650 0.528
Cr 0.175 0.350 0.028

## Properties
- Fermi-level density of states: 1.96 states/eV per atom
- Magnetization: 2.1 μB per formula unit
- SG: No. 36
- Calculated volume: 315 Å³ per cell
- ΔE_f (raw): -0.98 eV per atom